P.
Here is crystalline NiHIF2 at its relaxed geometry from the Alexandria database. Energies are from PBE+U.

a = 4.7620 Å, b = 4.7620 Å, c = 4.9798 Å
α = 90.00°, β = 90.00°, γ = 90.00°
Last column: nearest neighbours and their distance in Å.
Space group P4/mmm (No. 123)
Asymmetric unit:
Ni: 0.0000 0.0000 0.0000 (multiplicity 1)  2 I 2.49
H: 0.5000 0.5000 0.0000 (multiplicity 1)  4 Ni 3.37, 8 F 3.45
I: 0.0000 0.0000 0.5000 (multiplicity 1)  4 F 2.38, 2 Ni 2.49
F: 0.0000 0.5000 0.5000 (multiplicity 2)  2 I 2.38

Density ... 3.30 Mg/m³

***

Q.
Here is crystalline NiHIF2 at its relaxed geometry from the Alexandria database. Energies are from PBE+U.

a = 3.6201 Å, b = 3.6201 Å, c = 6.8670 Å
α = 90.00°, β = 90.00°, γ = 90.00°
Last column: nearest neighbours and their distance in Å.
Space group P4/mmm (No. 123)
Asymmetric unit:
Ni: 0.0000 0.0000 0.0000 (multiplicity 1)  4 F 1.81
H: 0.0000 0.0000 0.5000 (multiplicity 1)  4 I 2.56
I: 0.5000 0.5000 0.5000 (multiplicity 1)  4 H 2.56
F: 0.0000 0.5000 0.0000 (multiplicity 2)  2 Ni 1.81

Density ... 4.14 Mg/m³

***

Among the structures above, stability is greatest for Q.